The following is a PBE calculation of an optimized crystal structure of TmTaC2, from Alexandria.

Summary:
E = -9.18 eV/atom
SG = Pnma, No. 62
D(E_F) = 0.650 states/eV/f.u.
energy of formation = -11.19 kcal/mol of atoms
distance to the lowest polymorph of the same formula = 82 meV per atom

a = 5.6972 Å, b = 3.4464 Å, c = 11.0400 Å
α = 90.00°, β = 90.00°, γ = 90.00°
Positions (direct):
Tm (0.0854, 0.2500, 0.1399)
Tm (0.4146, 0.7500, 0.6399)
Tm (0.5854, 0.2500, 0.3601)
Tm (0.9146, 0.7500, 0.8601)
Ta (0.0964, 0.7500, 0.3937)
Ta (0.4036, 0.2500, 0.8937)
Ta (0.5964, 0.7500, 0.1063)
Ta (0.9036, 0.2500, 0.6063)
C (0.1483, 0.2500, 0.7526)
C (0.2285, 0.2500, 0.4865)
C (0.2715, 0.7500, 0.9865)
C (0.3517, 0.7500, 0.2526)
C (0.6483, 0.2500, 0.7474)
C (0.7285, 0.2500, 0.0135)
C (0.7715, 0.7500, 0.5135)
C (0.8517, 0.7500, 0.2474)

---

The following is a PBE calculation of an optimized crystal structure of TmU2TaC4, from Alexandria.

Summary:
E = -9.85 eV/atom
SG = Imma, No. 74
D(E_F) = 4.582 states/eV/f.u.
energy of formation = -8.58 kcal/mol of atoms

a = 6.8233 Å, b = 6.8233 Å, c = 6.8233 Å
α = 121.08°, β = 119.35°, γ = 89.64°
Positions (direct):
Tm (0.0000, 0.0000, 0.0000)
Tm (0.5000, 0.0000, 0.5000)
U (0.0000, 0.5000, 0.5000)
U (0.5000, 0.0000, 0.0000)
U (0.5000, 0.5000, 0.0000)
U (0.5000, 0.5000, 0.5000)
Ta (0.0000, 0.0000, 0.5000)
Ta (0.0000, 0.5000, 0.0000)
C (0.2323, 0.7472, 0.4851)
C (0.2380, 0.2528, 0.9851)
C (0.2406, 0.2551, 0.5145)
C (0.2406, 0.7260, 0.9855)
C (0.7594, 0.2740, 0.0145)
C (0.7594, 0.7449, 0.4855)
C (0.7620, 0.7472, 0.0149)
C (0.7677, 0.2528, 0.5149)

---

The following is a PBE calculation of an optimized crystal structure of TmTa2VC4, from Alexandria.

Summary:
E = -9.68 eV/atom
SG = Cmcm, No. 63
D(E_F) = 3.040 states/eV/f.u.
energy of formation = -9.26 kcal/mol of atoms

a = 5.7606 Å, b = 5.7606 Å, c = 11.1916 Å
α = 90.00°, β = 90.00°, γ = 147.83°
Positions (direct):
Tm (0.1139, 0.8861, 0.7500)
Tm (0.8861, 0.1139, 0.2500)
Ta (0.3692, 0.6308, 0.5391)
Ta (0.3692, 0.6308, 0.9609)
Ta (0.6308, 0.3692, 0.0391)
Ta (0.6308, 0.3692, 0.4609)
V (0.1558, 0.8442, 0.2500)
V (0.8442, 0.1558, 0.7500)
C (0.0000, 0.0000, 0.0000)
C (0.0000, 0.0000, 0.5000)
C (0.2624, 0.7376, 0.1159)
C (0.2624, 0.7376, 0.3841)
C (0.4459, 0.5541, 0.7500)
C (0.5541, 0.4459, 0.2500)
C (0.7376, 0.2624, 0.6159)
C (0.7376, 0.2624, 0.8841)